# GGA-PBE Ti3GeSb, optimized geometry
data_Ti3GeSb
_chemical_formula_sum 'Ti3 Ge1 Sb1'
_cell_length_a 5.022
_cell_length_b 5.022
_cell_length_c 5.022
_cell_angle_alpha 90.00
_cell_angle_beta 90.00
_cell_angle_gamma 90.00
_space_group_name_H-M_alt 'P m -3 m'
_space_group_IT_number 221
_space_group_name_Hall '-P 4 2 3'
loop_
_atom_site_label
_atom_site_fract_x
_atom_site_fract_y
_atom_site_fract_z
Ti1 0.000 0.000 0.500
Ge1 0.500 0.500 0.500
Sb1 0.000 0.000 0.000
# Energy above the most stable polymorph in this dataset = 1.186 eV/atom
# Magnetization = 3.467 μB per formula unit
# E_form (uncorrected) = 0.843 eV/atom
# Fermi-level density of states = 1.20 states/eV per atom